1.
# Re2BC2 PBE relaxed
data_Re2BC2
_space_group_name_H-M_alt 'I 4/m m m'
_space_group_IT_number 139
_space_group_name_Hall '-I 4 2'
_cell_length_a 3.987
_cell_length_b 3.987
_cell_length_c 6.060
_cell_angle_alpha 90.00
_cell_angle_beta 90.00
_cell_angle_gamma 90.00
loop_
_atom_site_label
_atom_site_fract_x
_atom_site_fract_y
_atom_site_fract_z
Re1 0.000 0.500 0.250
B1 0.000 0.000 0.000
C1 0.000 0.000 0.380
# Formation energy = 0.57 eV/atom
# ρ = 14.04 g/cm3
# D(E_F) = 0.377 states/eV per atom
# E above lowest polymorph = 0.000 eV per atom
# Total energy = -9.434 eV/atom
# V = 96.3 Å³/cell

2.
# Re2BC2 PBE relaxed
data_Re2BC2
_space_group_name_H-M_alt 'P 4/m b m'
_space_group_IT_number 127
_space_group_name_Hall '-P 4 2ab'
_cell_length_a 5.887
_cell_length_b 5.887
_cell_length_c 2.774
_cell_angle_alpha 90.00
_cell_angle_beta 90.00
_cell_angle_gamma 90.00
loop_
_atom_site_label
_atom_site_fract_x
_atom_site_fract_y
_atom_site_fract_z
Re1 0.163 0.337 0.000
B1 0.000 0.000 0.500
C1 0.141 0.641 0.500
# Formation energy = 1.25 eV/atom
# ρ = 14.07 g/cm3
# D(E_F) = 0.308 states/eV per atom
# E above lowest polymorph = 0.680 eV per atom
# Total energy = -8.754 eV/atom
# V = 96.1 Å³/cell

3.
# ReB2C PBE relaxed
data_ReB2C
_space_group_name_H-M_alt 'I -4 2 d'
_space_group_IT_number 122
_space_group_name_Hall 'I -4 2bw'
_cell_length_a 5.211
_cell_length_b 5.211
_cell_length_c 4.956
_cell_angle_alpha 90.00
_cell_angle_beta 90.00
_cell_angle_gamma 90.00
loop_
_atom_site_label
_atom_site_fract_x
_atom_site_fract_y
_atom_site_fract_z
Re1 0.000 0.000 0.000
B1 0.139 0.250 0.625
C1 0.000 0.000 0.500
# Formation energy = 0.61 eV/atom
# ρ = 10.85 g/cm3
# D(E_F) = 0.355 states/eV per atom
# Total energy = -8.149 eV/atom
# V = 134.6 Å³/cell